[1]
Below is a relaxed structure of Hf2NbN, with properties calculated at the PBE level.

Output
DOS(E_F), states/eV/f.u.: 3.2
Energy, eV/atom: -9.7237
E_form (uncorrected), eV/atom: -0.15
Crystal system: tetragonal
Space-group type: No. 122
Mass density, g/cm³: 9.838

Structure (extended XYZ):
```
8
Lattice="-3.160 3.160 3.922 3.160 -3.160 3.922 3.160 3.160 -3.922" Properties=species:S:1:pos:R:3 pbc="T T T"
Hf 4.740 0.868 -0.980
Hf 0.868 1.580 0.980
Hf -1.580 2.291 2.941
Hf 2.291 1.580 4.902
Nb 3.160 0.000 1.961
Nb 0.000 0.000 3.922
N 0.000 0.000 0.000
N 0.000 3.160 1.961
```

[2]
Below is a relaxed structure of HoThMg2Au4, with properties calculated at the PBE level.

Output
DOS(E_F), states/eV/f.u.: 4.6
Energy, eV/atom: -4.2636
Crystal system: trigonal
DFT formation energy, meV/atom: -726.5
Space-group type: No. 166
Mass density, g/cm³: 11.784

Structure (extended XYZ):
```
8
Lattice="2.439 1.408 8.437 -2.439 1.408 8.437 0.000 -2.816 8.437" Properties=species:S:1:pos:R:3 pbc="T T T"
Ho 0.000 0.000 0.000
Th 0.000 0.000 12.655
Mg 0.000 0.000 6.436
Mg 0.000 0.000 18.874
Au 0.000 0.000 2.953
Au 0.000 0.000 9.523
Au 0.000 0.000 15.787
Au 0.000 0.000 22.357
```

[3]
Below is a relaxed structure of Pr3Er2Tm3, with properties calculated at the PBE level.

Output
DOS(E_F), states/eV/f.u.: 13.9
Energy, eV/atom: -4.4661
Crystal system: orthorhombic
Relative energy among the computed polymorphs, meV per atom: 15.8
DFT formation energy, meV/atom: 143.7
Space-group type: No. 63
Mass density, g/cm³: 7.885

Structure (extended XYZ):
```
16
Lattice="2.751 -5.892 0.000 2.751 5.892 0.000 0.000 0.000 16.423" Properties=species:S:1:pos:R:3 pbc="T T T"
Pr 2.751 5.477 12.317
Pr 2.751 4.486 0.835
Pr 2.751 4.486 7.376
Pr 2.751 -4.486 9.047
Pr 2.751 -4.486 15.588
Pr 2.751 -5.477 4.106
Er 2.751 2.670 10.439
Er 2.751 2.670 14.196
Er 2.751 -2.670 2.227
Er 2.751 -2.670 5.985
Tm 2.751 3.020 4.106
Tm 2.751 0.893 1.477
Tm 2.751 0.893 6.735
Tm 2.751 -0.893 9.688
Tm 2.751 -0.893 14.947
Tm 2.751 -3.020 12.317
```

[4]
Below is a relaxed structure of Ni3RuN, with properties calculated at the PBE level.

Output
DOS(E_F), states/eV/f.u.: 8.6
Energy, eV/atom: -6.6764
E_form (uncorrected), eV/atom: 0.31
Crystal system: cubic
Relative energy among the computed polymorphs, meV per atom: 0.0
Space-group type: No. 221
Mass density, g/cm³: 8.944

Structure (extended XYZ):
```
5
Lattice="3.781 0.000 0.000 0.000 3.781 0.000 0.000 0.000 3.781" Properties=species:S:1:pos:R:3 pbc="T T T"
Ni 0.000 0.000 1.891
Ni 0.000 1.891 0.000
Ni 1.891 0.000 0.000
Ru 1.891 1.891 1.891
N 0.000 0.000 0.000
```

[5]
Below is a relaxed structure of Cr2FeAg, with properties calculated at the PBE level.

Output
DOS(E_F), states/eV/f.u.: 4.1
Energy, eV/atom: -7.0666
Crystal system: tetragonal
Relative energy among the computed polymorphs, meV per atom: 234.2
DFT formation energy, meV/atom: 573.6
Space-group type: No. 123
Mass density, g/cm³: 8.545

Structure (extended XYZ):
```
4
Lattice="3.644 0.000 0.000 0.000 3.644 0.000 0.000 0.000 3.917" Properties=species:S:1:pos:R:3 pbc="T T T"
Cr 0.000 1.822 0.000
Cr 1.822 0.000 0.000
Fe 0.000 0.000 1.959
Ag 1.822 1.822 1.959
```

[6]
Below is a relaxed structure of CuTcRh2, with properties calculated at the PBE level.

Output
DOS(E_F), states/eV/f.u.: 7.1
Energy, eV/atom: -6.9943
Crystal system: cubic
Relative energy among the computed polymorphs, meV per atom: 363.3
DFT formation energy, meV/atom: 297.0
Space-group type: No. 216
Mass density, g/cm³: 10.882

Structure (extended XYZ):
```
4
Lattice="0.000 3.038 3.038 3.038 0.000 3.038 3.038 3.038 0.000" Properties=species:S:1:pos:R:3 pbc="T T T"
Cu 0.000 0.000 0.000
Tc 4.556 4.556 4.556
Rh 1.519 1.519 1.519
Rh 3.038 3.038 3.038
```

[7]
Below is a relaxed structure of Hf4VSe2, with properties calculated at the PBE level.

Output
DOS(E_F), states/eV/f.u.: 8.5
Energy, eV/atom: -7.7002
E_form (uncorrected), eV/atom: 0.29
Crystal system: tetragonal
Space-group type: No. 139
Mass density, g/cm³: 9.586

Structure (extended XYZ):
```
7
Lattice="-2.424 2.424 6.804 2.424 -2.424 6.804 2.424 2.424 -6.804" Properties=species:S:1:pos:R:3 pbc="T T T"
Hf 2.424 0.000 0.000
Hf 0.000 0.000 2.507
Hf 0.000 2.424 0.000
Hf 0.000 0.000 11.100
V 0.000 0.000 0.000
Se 0.000 0.000 5.126
Se 0.000 0.000 8.481
```

[8]
Below is a relaxed structure of La3Ga3CoHg2, with properties calculated at the PBE level.

Output
DOS(E_F), states/eV/f.u.: 9.8
Energy, eV/atom: -3.9793
Crystal system: hexagonal
DFT formation energy, meV/atom: -471.2
Space-group type: No. 189
Mass density, g/cm³: 8.304

Structure (extended XYZ):
```
9
Lattice="7.558 0.000 0.000 -3.779 6.546 0.000 0.000 0.000 4.390" Properties=species:S:1:pos:R:3 pbc="T T T"
La -1.401 2.427 0.000
La 2.803 0.000 0.000
La 2.378 4.119 0.000
Ga -2.987 5.174 2.195
Ga 0.792 1.372 2.195
Ga 5.975 0.000 2.195
Co 0.000 0.000 0.000
Hg 0.000 4.364 2.195
Hg 3.779 2.182 2.195
```

[9]
Below is a relaxed structure of La2BeHPd6, with properties calculated at the PBE level.

Output
DOS(E_F), states/eV/f.u.: 2.1
Energy, eV/atom: -5.5018
Crystal system: triclinic
Space-group type: No. 2
Mass density, g/cm³: 9.163

Structure (extended XYZ):
```
10
Lattice="5.877 0.000 0.000 2.917 5.103 0.000 2.909 1.624 5.597" Properties=species:S:1:pos:R:3 pbc="T T T"
La 2.934 1.690 1.608
La 8.769 5.038 3.989
Be 5.852 3.364 2.798
H 0.000 0.000 0.000
Pd 5.830 5.048 4.406
Pd 4.378 2.486 4.406
Pd 4.391 4.248 1.192
Pd 7.313 2.480 4.405
Pd 7.326 4.242 1.191
Pd 5.873 1.679 1.191
```

[10]
Below is a relaxed structure of FePRu2, with properties calculated at the PBE level.

Output
DOS(E_F), states/eV/f.u.: 3.2
Energy, eV/atom: -8.2159
Crystal system: orthorhombic
DFT formation energy, meV/atom: -109.8
Space-group type: No. 38
Mass density, g/cm³: 9.469

Structure (extended XYZ):
```
4
Lattice="3.673 0.000 0.000 0.000 1.367 5.045 0.000 -1.367 5.045" Properties=species:S:1:pos:R:3 pbc="T T T"
Fe 0.000 0.000 0.000
P 1.837 0.000 5.818
Ru 0.000 0.000 7.336
Ru 1.837 0.000 3.574
```

[11]
Below is a relaxed structure of NpTlZn2Cl8, with properties calculated at the PBE level.

Output
DOS(E_F), states/eV/f.u.: 5.0
Energy, eV/atom: -3.9997
E_form (uncorrected), eV/atom: -1.28
Crystal system: trigonal
Space-group type: No. 148
Mass density, g/cm³: 3.987

Structure (extended XYZ):
```
12
Lattice="3.233 1.867 9.844 -3.233 1.867 9.844 0.000 -3.733 9.844" Properties=species:S:1:pos:R:3 pbc="T T T"
Np 0.000 0.000 0.000
Tl 0.000 0.000 14.767
Zn 0.000 0.000 7.309
Zn 0.000 0.000 22.224
Cl -2.120 -0.014 11.516
Cl 0.000 0.000 5.104
Cl -1.048 -1.843 18.017
Cl 1.072 -1.829 11.516
Cl -1.072 1.829 18.017
Cl 1.048 1.843 11.516
Cl 0.000 0.000 24.429
Cl 2.120 0.014 18.017
```

[12]
Below is a relaxed structure of La4Ce3HoN8, with properties calculated at the PBE level.

Output
DOS(E_F), states/eV/f.u.: 8.2
Energy, eV/atom: -8.2367
E_form (uncorrected), eV/atom: -1.44
Crystal system: trigonal
Space-group type: No. 166
Mass density, g/cm³: 7.668

Structure (extended XYZ):
```
16
Lattice="3.622 2.091 5.972 -3.622 2.091 5.972 0.000 -4.182 5.972" Properties=species:S:1:pos:R:3 pbc="T T T"
La 0.000 0.000 0.000
La -1.811 -1.045 5.972
La -1.811 1.045 11.943
La 0.000 2.091 5.972
Ce -3.622 0.000 8.957
Ce -1.811 1.045 2.986
Ce 1.811 1.045 2.986
Ho 0.000 0.000 8.957
N 0.000 0.000 4.333
N -1.814 -1.048 10.312
N 0.000 -2.095 7.603
N -1.814 1.048 7.603
N 1.814 -1.048 10.312
N 0.000 2.095 10.312
N 1.814 1.048 7.603
N 0.000 0.000 13.582
```

[13]
Below is a relaxed structure of Pm2MgPb2, with properties calculated at the PBE level.

Output
DOS(E_F), states/eV/f.u.: 4.6
Energy, eV/atom: -4.1135
Crystal system: orthorhombic
Relative energy among the computed polymorphs, meV per atom: 65.7
DFT formation energy, meV/atom: -411.0
Space-group type: No. 71
Mass density, g/cm³: 8.185

Structure (extended XYZ):
```
5
Lattice="-2.342 3.324 4.747 2.342 -3.324 4.747 2.342 3.324 -4.747" Properties=species:S:1:pos:R:3 pbc="T T T"
Pm 0.000 0.000 1.921
Pm 0.000 0.000 7.573
Mg 0.000 3.324 0.000
Pb 2.342 1.536 0.000
Pb 0.000 1.787 4.747
```

[14]
Below is a relaxed structure of PmErMgPd, with properties calculated at the PBE level.

Output
DOS(E_F), states/eV/f.u.: 3.0
Energy, eV/atom: -4.4001
Crystal system: cubic
DFT formation energy, meV/atom: -374.9
Space-group type: No. 216
Mass density, g/cm³: 7.495

Structure (extended XYZ):
```
4
Lattice="0.000 3.661 3.661 3.661 0.000 3.661 3.661 3.661 0.000" Properties=species:S:1:pos:R:3 pbc="T T T"
Pm 0.000 0.000 0.000
Er 3.661 3.661 3.661
Mg 5.492 5.492 5.492
Pd 1.831 1.831 1.831
```

[15]
Below is a relaxed structure of Tb2Nd3Y7, with properties calculated at the PBE level.

Output
DOS(E_F), states/eV/f.u.: 15.7
Energy, eV/atom: -5.6507
Crystal system: monoclinic
DFT formation energy, meV/atom: 83.6
Space-group type: No. 10
Mass density, g/cm³: 5.708

Structure (extended XYZ):
```
12
Lattice="5.880 0.000 0.000 0.000 3.596 0.000 -1.048 0.000 18.892" Properties=species:S:1:pos:R:3 pbc="T T T"
Tb 0.934 0.000 5.532
Tb 3.897 0.000 13.360
Nd 0.000 0.000 0.000
Nd 0.963 1.798 11.974
Nd 3.868 1.798 6.918
Y 0.963 1.798 2.717
Y 0.943 0.000 8.733
Y 0.943 0.000 15.557
Y 2.940 1.798 0.000
Y 3.889 0.000 3.335
Y 3.888 0.000 10.159
Y 3.868 1.798 16.175
```

[16]
Below is a relaxed structure of Ho2Er3Mg, with properties calculated at the PBE level.

Output
DOS(E_F), states/eV/f.u.: 7.4
Energy, eV/atom: -3.9311
Crystal system: monoclinic
DFT formation energy, meV/atom: 142.0
Space-group type: No. 15
Mass density, g/cm³: 7.727

Structure (extended XYZ):
```
12
Lattice="4.863 -5.684 0.000 4.863 5.684 0.000 -0.759 0.000 6.655" Properties=species:S:1:pos:R:3 pbc="T T T"
Ho 2.674 3.041 5.393
Ho 5.914 3.041 4.589
Ho 3.053 -3.041 2.066
Ho 6.294 -3.041 1.262
Er 4.673 5.100 1.664
Er 2.600 0.249 3.421
Er 2.979 -0.249 0.093
Er 5.989 0.249 6.561
Er 6.368 -0.249 3.234
Er 4.294 -5.100 4.991
Mg 4.673 2.016 1.664
Mg 4.294 -2.016 4.991
```

[17]
Below is a relaxed structure of Pa2ZnNi6B, with properties calculated at the PBE level.

Output
DOS(E_F), states/eV/f.u.: 9.4
Energy, eV/atom: -6.4929
Crystal system: trigonal
DFT formation energy, meV/atom: -329.8
Space-group type: No. 166
Mass density, g/cm³: 10.334

Structure (extended XYZ):
```
20
Lattice="2.634 1.521 11.903 -2.634 1.521 11.903 0.000 -3.042 11.903" Properties=species:S:1:pos:R:3 pbc="T T T"
Pa 0.000 0.000 4.165
Pa 0.000 0.000 10.045
Pa 0.000 0.000 25.666
Pa 0.000 0.000 31.545
Zn 0.000 0.000 14.952
Zn 0.000 0.000 20.759
Ni -1.415 -0.817 16.791
Ni 0.000 -1.488 13.027
Ni -1.289 0.744 13.027
Ni -1.289 -0.744 22.683
Ni 0.000 -1.634 18.919
Ni -1.415 0.817 18.919
Ni 1.415 -0.817 16.791
Ni 0.000 1.634 16.791
Ni 1.289 0.744 13.027
Ni 1.289 -0.744 22.683
Ni 0.000 1.488 22.683
Ni 1.415 0.817 18.919
B 0.000 0.000 0.000
B 0.000 0.000 17.855
```

[18]
Below is a relaxed structure of CaTbDyCd, with properties calculated at the PBE level.

Output
DOS(E_F), states/eV/f.u.: 4.4
Energy, eV/atom: -3.0435
Crystal system: cubic
DFT formation energy, meV/atom: -6.3
Space-group type: No. 216
Mass density, g/cm³: 6.653

Structure (extended XYZ):
```
4
Lattice="0.000 3.896 3.896 3.896 0.000 3.896 3.896 3.896 0.000" Properties=species:S:1:pos:R:3 pbc="T T T"
Ca 0.000 0.000 0.000
Tb 1.948 1.948 1.948
Dy 5.844 5.844 5.844
Cd 3.896 3.896 3.896
```

[19]
Below is a relaxed structure of ScZn, with properties calculated at the PBE level.

Output
DOS(E_F), states/eV/f.u.: 2.0
Energy, eV/atom: -4.1072
Crystal system: orthorhombic
DFT formation energy, meV/atom: -304.5
Space-group type: No. 63
Mass density, g/cm³: 4.733

Structure (extended XYZ):
```
4
Lattice="1.670 -5.331 0.000 1.670 5.331 0.000 0.000 0.000 4.349" Properties=species:S:1:pos:R:3 pbc="T T T"
Sc 1.670 3.654 3.261
Sc 1.670 -3.654 1.087
Zn 1.670 0.764 3.261
Zn 1.670 -0.764 1.087
```